Entry 1:
K2NaAgSe: optimized geometry, PBE.

Geometry as extended XYZ:
```
5
Lattice="-2.3291 -5.7241 1.2545 3.6827 -0.3798 5.1046 -3.9190 2.2510 2.9948" Properties=species:S:1:pos:R:3 pbc="T T T"
Na -1.9595 1.1255 1.4974
K 1.8414 -0.1899 2.5523
K -1.1646 -2.8621 0.6273
Se 0.0000 0.0000 0.0000
Ag -1.2827 -1.9264 4.6770
```

Values from the calculation:
* space group: No. 123
* formation energy from raw total energies: -0.51 eV/atom

Entry 2:
Ac2SiF: optimized geometry, PBE.

Geometry as extended XYZ:
```
16
Lattice="-5.3547 -1.3475 2.9554 -2.7708 -1.1338 -5.5372 3.5142 -11.8728 0.9539" Properties=species:S:1:pos:R:3 pbc="T T T"
Ac -1.0807 -11.4307 3.1156
Ac -3.5306 -2.9234 -4.7435
Ac -3.3330 -9.0339 0.1274
Ac -1.2782 -5.3201 -1.7553
Ac -4.9036 -2.9626 -0.2346
Ac 0.2923 -11.3914 -1.3933
Ac -2.7947 -5.5714 2.3970
Ac -1.8166 -8.7827 -4.0249
Si -0.0355 -4.7884 1.0963
Si -4.5758 -9.5657 -2.7242
Si -2.2911 -2.3939 -1.8987
Si -2.3202 -11.9602 0.2708
F -0.4070 -8.0073 -1.9930
F -4.2042 -6.3468 0.3651
F -0.4107 -11.9890 -3.8151
F -4.2005 -2.3651 2.1872
```

Values from the calculation:
* space group: No. 13
* formation energy from raw total energies: -1.50 eV/atom
* offset from the most stable computed form: 0.08 eV per formula unit

Entry 3:
FeCuAg2: optimized geometry, PBE.

Geometry as extended XYZ:
```
4
Lattice="-1.5687 -2.2640 -0.2063 0.7959 -0.3121 -2.6265 6.1038 -4.4459 2.3778" Properties=species:S:1:pos:R:3 pbc="T T T"
Ag 0.0237 -0.0173 0.0092
Ag 3.0282 -2.2057 1.1797
Cu 1.1395 -2.3995 -0.8219
Fe 4.1914 -4.6225 0.3670
```

Values from the calculation:
* space group: No. 123
* offset from the most stable computed form: 0.26 eV per formula unit
* formation energy: 0.279 eV/atom

Entry 4:
NdDy2ScSb4: optimized geometry, PBE.

Geometry as extended XYZ:
```
8
Lattice="4.3763 0.0000 0.0000 0.0000 7.5648 0.1279 0.0000 -2.6488 7.0993" Properties=species:S:1:pos:R:3 pbc="T T T"
Nd 2.1882 3.7824 0.0640
Dy 2.1882 -1.3244 3.5496
Dy 0.0000 2.4580 3.6136
Sc 0.0000 0.0000 0.0000
Sb 2.1882 1.1510 1.7589
Sb 2.1882 3.7650 5.4683
Sb 0.0000 -0.1736 5.3451
Sb 0.0000 5.0896 1.8821
```

Values from the calculation:
* space group: No. 10
* formation energy from raw total energies: -1.07 eV/atom

Entry 5:
Tb6ZnHg2: optimized geometry, PBE.

Geometry as extended XYZ:
```
9
Lattice="-3.3508 3.0608 2.2247 1.2813 -3.1841 6.3107 6.5518 5.0801 -2.8558" Properties=species:S:1:pos:R:3 pbc="T T T"
Tb 2.1234 0.8604 2.0144
Tb 1.7079 5.7140 0.4590
Tb 2.3589 4.0963 3.6652
Tb -1.3652 0.7595 2.6402
Tb 2.7744 -0.7573 5.2206
Tb -0.7043 -0.8828 5.8952
Zn 0.0000 0.0000 0.0000
Hg 0.8056 1.6098 4.7374
Hg 3.6768 3.3469 0.9422
```

Values from the calculation:
* space group: No. 71
* formation energy: -0.063 eV/atom

Entry 6:
GaAgIrPd: optimized geometry, PBE.

Geometry as extended XYZ:
```
4
Lattice="-1.0327 -1.9932 3.8214 3.1640 -0.8373 2.9884 0.1239 2.2851 3.7955" Properties=species:S:1:pos:R:3 pbc="T T T"
Ga 0.5638 -0.1364 2.6513
Ir 1.1276 -0.2727 5.3027
Pd 0.0000 0.0000 0.0000
Ag 1.6914 -0.4091 7.9540
```

Values from the calculation:
* space group: No. 216
* formation energy: -0.110 eV/atom

Entry 7:
ZrTiBiO6: optimized geometry, PBE.

Geometry as extended XYZ:
```
18
Lattice="4.9125 0.0000 0.0000 0.0000 4.9125 0.0000 0.0000 0.0000 9.8410" Properties=species:S:1:pos:R:3 pbc="T T T"
Zr 2.4563 2.4563 4.9068
Zr 0.0000 0.0000 9.8273
Ti 2.4563 2.4563 8.2330
Ti 0.0000 0.0000 3.3124
Bi 2.4563 2.4563 1.6506
Bi 0.0000 0.0000 6.5711
O 0.9549 3.9576 4.7316
O 3.9576 0.9549 4.7316
O 1.5014 1.5014 9.6521
O 3.4112 3.4112 9.6521
O 0.8773 4.0352 1.7149
O 4.0352 0.8773 1.7149
O 1.5789 1.5789 6.6355
O 3.3336 3.3336 6.6355
O 3.8737 1.0388 8.3006
O 1.0388 3.8737 8.3006
O 3.4951 3.4951 3.3801
O 1.4174 1.4174 3.3801
```

Values from the calculation:
* space group: No. 102
* formation energy from raw total energies: -2.38 eV/atom

Entry 8:
SrLaFe2: optimized geometry, PBE.

Geometry as extended XYZ:
```
4
Lattice="3.4250 0.1711 0.0000 -0.1709 3.4250 0.0000 0.0000 0.0000 8.6250" Properties=species:S:1:pos:R:3 pbc="T T T"
Fe 0.0000 0.0000 0.7508
Fe 1.6270 1.7980 1.5312
La 0.0000 0.0000 3.5461
Sr 1.6270 1.7980 7.1094
```

Values from the calculation:
* space group: No. 99
* formation energy: 0.360 eV/atom